# GGA-PBE MgBeN3, optimized geometry
data_MgBeN3
_chemical_formula_sum 'Mg1 Be1 N3'
_symmetry_space_group_name_H-M 'P m -3 m'
_symmetry_Int_Tables_number 221
_symmetry_space_group_name_Hall '-P 4 2 3'
_cell_length_a 3.8843
_cell_length_b 3.8843
_cell_length_c 3.8843
_cell_angle_alpha 90.00
_cell_angle_beta 90.00
_cell_angle_gamma 90.00
loop_
_atom_site_label
_atom_site_type_symbol
_atom_site_fract_x
_atom_site_fract_y
_atom_site_fract_z
_atom_site_occupancy
Mg1 Mg 0.0000 0.0000 0.0000 1
Be1 Be 0.5000 0.5000 0.5000 1
N1 N 0.0000 0.0000 0.5000 1
# Uncorrected formation energy = 2.15 eV per atom